(1)
# TlCoMo2I

TlCoMo2I after structural relaxation (PBE, Alexandria via LeMat-Bulk).

calculated total energy: -26.4 eV/cell
crystal system: tetragonal

abc: 4.724 4.724 4.977
angles: 90.00 90.00 90.00
Sites, in units of the cell vectors:
Tl 0.000 0.000 0.000
Co 0.000 0.000 0.500
Mo 0.000 0.500 0.500
Mo 0.500 0.000 0.500
I 0.500 0.500 0.000

***

(2)
# ZnCoMo2I

ZnCoMo2I after structural relaxation (PBE, Alexandria via LeMat-Bulk).

calculated total energy: -19.7 eV/cell
crystal system: tetragonal

abc: 4.895 4.895 4.956
angles: 90.00 90.00 90.00
Sites, in units of the cell vectors:
Zn 0.000 0.000 0.000
Co 0.500 0.500 0.000
Mo 0.000 0.500 0.500
Mo 0.500 0.000 0.500
I 0.000 0.000 0.500

***

(3)
# CoIN3

CoIN3 after structural relaxation (PBE, Alexandria via LeMat-Bulk).

calculated total energy: -21.0 eV/cell
crystal system: cubic

abc: 3.943 3.943 3.943
angles: 90.00 90.00 90.00
Sites, in units of the cell vectors:
Co 0.000 0.000 0.000
I 0.500 0.500 0.500
N 0.000 0.500 0.500
N 0.500 0.000 0.500
N 0.500 0.500 0.000

***

(4)
# CoI3N

CoI3N after structural relaxation (PBE, Alexandria via LeMat-Bulk).

crystal system: cubic
distance to the lowest polymorph of the same formula: 159 meV per atom

abc: 5.161 5.161 5.161
angles: 90.00 90.00 90.00
Sites, in units of the cell vectors:
Co 0.000 0.000 0.000
I 0.000 0.000 0.500
I 0.000 0.500 0.000
I 0.500 0.000 0.000
N 0.500 0.500 0.500

***

(5)
# Co3IN

Co3IN after structural relaxation (PBE, Alexandria via LeMat-Bulk).

crystal system: cubic
distance to the lowest polymorph of the same formula: 0 meV per atom

abc: 3.966 3.966 3.966
angles: 90.00 90.00 90.00
Sites, in units of the cell vectors:
Co 0.000 0.000 0.500
Co 0.000 0.500 0.000
Co 0.500 0.000 0.000
I 0.500 0.500 0.500
N 0.000 0.000 0.000

***

(6)
# CoI3N

CoI3N after structural relaxation (PBE, Alexandria via LeMat-Bulk).

crystal system: cubic
distance to the lowest polymorph of the same formula: 0 meV per atom

abc: 5.002 5.002 5.002
angles: 90.00 90.00 90.00
Sites, in units of the cell vectors:
Co 0.000 0.000 0.000
I 0.000 0.500 0.500
I 0.500 0.000 0.500
I 0.500 0.500 0.000
N 0.500 0.500 0.500

***

What calculated density values result from the calculations? In sequence: 8.702 6.197 6.174 5.481 8.459 6.020 g cm⁻³.
What D(E_F) values result from the calculations? In sequence: 5.71 8.87 3.44 11.82 5.83 9.69 states/eV per cell.